Record 1
Sm2Tm5Th2: optimized geometry, PBE.

Computed properties:
The calculation puts the excess energy over the best structure of this formula in the dataset at 24 meV/atom. The calculation puts the formation energy at 25.54 kJ per mole of atoms. As for the space-group type: C2/m.

a b c (Å): 3.4609 8.0552 12.7553
angles (deg): 119.70 97.80 90.00
Fractional positions:
Th 0.4480 0.2460 0.8959
Th 0.5520 0.7540 0.1041
Sm 0.8241 0.7986 0.6482
Sm 0.1759 0.2014 0.3518
Tm 0.0916 0.4554 0.1832
Tm 0.9084 0.5446 0.8168
Tm 0.0000 0.0000 0.0000
Tm 0.3078 0.1581 0.6156
Tm 0.6922 0.8419 0.3844

Record 2
In4CuTe: optimized geometry, PBE.

Computed properties:
For the uncorrected formation energy, the calculation gives 0.3594 eV/atom. As for the space-group type: F-43m.

a b c (Å): 6.2031 6.2031 6.2031
angles (deg): 60.00 60.00 60.00
Fractional positions:
Cu 0.0000 0.0000 0.0000
In 0.3745 0.3745 0.8765
In 0.8765 0.3745 0.3745
In 0.3745 0.8765 0.3745
In 0.3745 0.3745 0.3745
Te 0.7500 0.7500 0.7500

Record 3
Ga2Pt2Pb: optimized geometry, PBE.

Computed properties:
The calculation puts the excess energy over the best structure of this formula in the dataset at 85 meV/atom. The calculation puts the formation energy at -35.03 kJ per mole of atoms. As for the space-group type: I4/mmm.

a b c (Å): 4.2761 4.2761 6.1438
angles (deg): 69.63 69.63 90.00
Fractional positions:
Pt 0.7500 0.2500 0.5000
Pt 0.2500 0.7500 0.5000
Ga 0.3792 0.3792 0.2416
Ga 0.6208 0.6208 0.7584
Pb 0.0000 0.0000 0.0000

Record 4
Y2Ni2P: optimized geometry, PBE.

Computed properties:
The calculation puts the formation energy at -57.31 kJ per mole of atoms. As for the space-group type: P4/mbm.

a b c (Å): 6.8108 6.8108 3.8729
angles (deg): 90.00 90.00 90.00
Fractional positions:
P 0.0000 0.0000 0.0000
P 0.5000 0.5000 0.0000
Ni 0.3759 0.8759 0.0000
Ni 0.8759 0.6241 0.0000
Ni 0.6241 0.1241 0.0000
Ni 0.1241 0.3759 0.0000
Y 0.8183 0.3183 0.5000
Y 0.6817 0.8183 0.5000
Y 0.3183 0.1817 0.5000
Y 0.1817 0.6817 0.5000

Record 5
NaCrP2: optimized geometry, PBE.

Computed properties:
The calculation puts the excess energy over the best structure of this formula in the dataset at 172 meV/atom. The calculation puts the formation energy at -8.94 kJ per mole of atoms. As for the space-group type: I4_1/amd.

a b c (Å): 5.1932 5.1932 7.8055
angles (deg): 70.57 70.57 90.00
Fractional positions:
P 0.8750 0.1257 0.7500
P 0.8756 0.1250 0.2500
P 0.3750 0.1244 0.7500
P 0.8744 0.6250 0.2500
Cr 0.7500 0.2500 0.5000
Cr 0.0000 0.0000 0.0000
Na 0.2500 0.7500 0.5000
Na 0.5000 0.5000 0.0000

Record 6
La3ZnN: optimized geometry, PBE.

Computed properties:
For the uncorrected formation energy, the calculation gives -0.2985 eV/atom. The calculation puts the excess energy over the best structure of this formula in the dataset at 397 meV/atom. As for the space-group type: Fd-3m.

a b c (Å): 9.4573 9.4573 9.4573
angles (deg): 60.00 60.00 60.00
Fractional positions:
N 0.1250 0.1250 0.1250
N 0.6250 0.1250 0.1250
N 0.1250 0.6250 0.1250
N 0.1250 0.1250 0.6250
La 0.1958 0.1958 0.8042
La 0.4458 0.0542 0.4458
La 0.8042 0.8042 0.1958
La 0.0542 0.0542 0.4458
La 0.1958 0.8042 0.8042
La 0.4458 0.0542 0.0542
La 0.1958 0.8042 0.1958
La 0.8042 0.1958 0.8042
La 0.4458 0.4458 0.0542
La 0.0542 0.4458 0.4458
La 0.0542 0.4458 0.0542
La 0.8042 0.1958 0.1958
Zn 0.6250 0.1250 0.6250
Zn 0.1250 0.6250 0.6250
Zn 0.6250 0.6250 0.1250
Zn 0.6250 0.6250 0.6250

Record 7
KS2ClF: optimized geometry, PBE.

Computed properties:
For the uncorrected formation energy, the calculation gives -0.1453 eV/atom. The calculation puts the excess energy over the best structure of this formula in the dataset at 34 meV/atom. As for the space-group type: P4/mmm.

a b c (Å): 4.5313 7.2454 4.5313
angles (deg): 90.00 90.00 90.00
Fractional positions:
S 0.0000 0.0000 0.5000
S 0.5000 0.0000 0.0000
F 0.5000 0.5000 0.5000
K 0.0000 0.5000 0.0000
Cl 0.0000 0.0000 0.0000